1.
The following is a PBE calculation of a relaxed structure of Pr2HoGa6, from the Alexandria database.

Cell lengths 7.3845, 7.3845, 4.2718 Å; angles 90.00, 90.00, 120.00 degrees
Space group P6/mmm (No. 191)
Symmetry-distinct sites (fractional):
Pr: 0.3333 0.6667 0.0000 (multiplicity 2)
Ho: 0.0000 0.0000 0.0000 (multiplicity 1)
Ga: 0.0000 0.3315 0.5000 (multiplicity 6)

Raw total energy (eV/cell): -38.24
Total magnetic moment (μB/atom): 0.000
Polymorph energy (0 for the lowest one) (meV/atom): 0
Energy relative to the elements (meV/atom): -660



2.
The following is a PBE calculation of a relaxed structure of PrHoGa2Pt2, from the Alexandria database.

Cell lengths 4.4852, 4.4852, 7.2149 Å; angles 90.00, 90.00, 120.00 degrees
Space group P-3m1 (No. 164)
Symmetry-distinct sites (fractional):
Pr: 0.0000 0.0000 0.0000 (multiplicity 1)
Ho: 0.0000 0.0000 0.5000 (multiplicity 1)
Ga: 0.3333 0.6667 0.2750 (multiplicity 2)
Pt: 0.3333 0.6667 0.7236 (multiplicity 2)

Raw total energy (eV/cell): -33.76
Total magnetic moment (μB/atom): 0.000
Energy relative to the elements (meV/atom): -1045



3.
The following is a PBE calculation of a relaxed structure of Pr2HoGa3Pt4, from the Alexandria database.

Cell lengths 4.285, 4.285, 11.372 Å; angles 90.00, 90.00, 90.00 degrees
Space group P-4m2 (No. 115)
Symmetry-distinct sites (fractional):
Pr: 0.000 0.500 0.228 (multiplicity 2)
Ho: 0.000 0.000 0.500 (multiplicity 1)
Ga: 0.000 0.500 0.877 (multiplicity 2)
Ga: 0.500 0.500 0.500 (multiplicity 1)
Pt: 0.000 0.000 0.000 (multiplicity 1)
Pt: 0.000 0.500 0.656 (multiplicity 2)
Pt: 0.500 0.500 0.000 (multiplicity 1)

Raw total energy (eV/cell): -57.24
Total magnetic moment (μB/atom): 0.000
Energy relative to the elements (meV/atom): -985



4.
The following is a PBE calculation of a relaxed structure of PrHo2Ga2Pt7, from the Alexandria database.

Cell lengths 5.808, 5.736, 14.232 Å; angles 90.00, 99.96, 90.00 degrees
Space group C2/m (No. 12)
Symmetry-distinct sites (fractional):
Pr: 0.000 0.000 0.000 (multiplicity 2)
Ho: 0.135 0.000 0.360 (multiplicity 4)
Ga: 0.112 0.500 0.264 (multiplicity 4)
Pt: 0.000 0.500 0.000 (multiplicity 2)
Pt: 0.149 0.500 0.436 (multiplicity 4)
Pt: 0.181 0.250 0.838 (multiplicity 8)

Raw total energy (eV/cell): -146.42
Total magnetic moment (μB/atom): 0.000
Energy relative to the elements (meV/atom): -911



5.
The following is a PBE calculation of a relaxed structure of Pr2HoGa4Pt3, from the Alexandria database.

Cell lengths 4.278, 4.278, 11.554 Å; angles 90.00, 90.00, 90.00 degrees
Space group P-4m2 (No. 115)
Symmetry-distinct sites (fractional):
Pr: 0.000 0.500 0.228 (multiplicity 2)
Ho: 0.000 0.000 0.500 (multiplicity 1)
Ga: 0.000 0.000 0.000 (multiplicity 1)
Ga: 0.000 0.500 0.664 (multiplicity 2)
Ga: 0.500 0.500 0.000 (multiplicity 1)
Pt: 0.000 0.500 0.878 (multiplicity 2)
Pt: 0.500 0.500 0.500 (multiplicity 1)

Raw total energy (eV/cell): -53.23
Total magnetic moment (μB/atom): 0.000
Energy relative to the elements (meV/atom): -886



6.
The following is a PBE calculation of a relaxed structure of PrHoScGa, from the Alexandria database.

Cell lengths 7.463, 7.463, 7.463 Å; angles 90.00, 90.00, 90.00 degrees
Space group F-43m (No. 216)
Symmetry-distinct sites (fractional):
Pr: 0.000 0.000 0.000 (multiplicity 4)
Ho: 0.000 0.000 0.500 (multiplicity 4)
Sc: 0.250 0.250 0.750 (multiplicity 4)
Ga: 0.250 0.250 0.250 (multiplicity 4)

Raw total energy (eV/cell): -77.09
Total magnetic moment (μB/atom): 0.285
Energy relative to the elements (meV/atom): -139



7.
The following is a PBE calculation of a relaxed structure of PrHoGaSi, from the Alexandria database.

Cell lengths 4.012, 4.384, 11.014 Å; angles 90.00, 90.00, 90.00 degrees
Space group Amm2 (No. 38)
Symmetry-distinct sites (fractional):
Pr: 0.000 0.000 0.000 (multiplicity 2)
Ho: 0.500 0.000 0.281 (multiplicity 2)
Ga: 0.500 0.000 0.574 (multiplicity 2)
Si: 0.000 0.000 0.719 (multiplicity 2)

Raw total energy (eV/cell): -41.23
Total magnetic moment (μB/atom): 0.023
ΔE_f (raw) (eV/atom): -0.70



8.
The following is a PBE calculation of a relaxed structure of PrHoGaSn, from the Alexandria database.

Cell lengths 7.511, 7.511, 7.511 Å; angles 90.00, 90.00, 90.00 degrees
Space group F-43m (No. 216)
Symmetry-distinct sites (fractional):
Pr: 0.000 0.000 0.000 (multiplicity 4)
Ho: 0.000 0.000 0.500 (multiplicity 4)
Ga: 0.250 0.250 0.250 (multiplicity 4)
Sn: 0.250 0.250 0.750 (multiplicity 4)

Raw total energy (eV/cell): -74.15
Total magnetic moment (μB/atom): 0.000
Polymorph energy (0 for the lowest one) (meV/atom): 151
Energy relative to the elements (meV/atom): -538



9.
The following is a PBE calculation of a relaxed structure of PrHoGaSn, from the Alexandria database.

Cell lengths 4.215, 4.553, 11.391 Å; angles 90.00, 90.00, 90.00 degrees
Space group Amm2 (No. 38)
Symmetry-distinct sites (fractional):
Pr: 0.000 0.000 0.000 (multiplicity 2)
Ho: 0.500 0.000 0.278 (multiplicity 2)
Ga: 0.500 0.000 0.554 (multiplicity 2)
Sn: 0.000 0.000 0.717 (multiplicity 2)

Raw total energy (eV/cell): -38.29
Total magnetic moment (μB/atom): 0.000
Polymorph energy (0 for the lowest one) (meV/atom): 0
Energy relative to the elements (meV/atom): -689



10.
The following is a PBE calculation of a relaxed structure of TbPrHoGa, from the Alexandria database.

Cell lengths 7.630, 7.630, 7.630 Å; angles 90.00, 90.00, 90.00 degrees
Space group F-43m (No. 216)
Symmetry-distinct sites (fractional):
Tb: 0.000 0.000 0.000 (multiplicity 4)
Pr: 0.000 0.000 0.500 (multiplicity 4)
Ho: 0.250 0.250 0.250 (multiplicity 4)
Ga: 0.250 0.250 0.750 (multiplicity 4)

Raw total energy (eV/cell): -69.49
Total magnetic moment (μB/atom): 0.222
Energy relative to the elements (meV/atom): -90



11.
The following is a PBE calculation of a relaxed structure of Pr2HoZn2Ga2, from the Alexandria database.

Cell lengths 4.4549, 4.4549, 29.1420 Å; angles 90.00, 90.00, 120.00 degrees
Space group R-3m (No. 166, hexagonal axes)
Symmetry-distinct sites (fractional):
Pr: 0.0000 0.0000 0.1236 (multiplicity 6)
Ho: 0.0000 0.0000 0.0000 (multiplicity 3)
Zn: 0.0000 0.0000 0.3890 (multiplicity 6)
Ga: 0.0000 0.0000 0.2722 (multiplicity 6)

Raw total energy (eV/cell): -76.76
Total magnetic moment (μB/atom): 0.000
Energy relative to the elements (meV/atom): -407



12.
The following is a PBE calculation of a relaxed structure of PrHoZnGa, from the Alexandria database.

Cell lengths 7.290, 7.290, 7.290 Å; angles 90.00, 90.00, 90.00 degrees
Space group F-43m (No. 216)
Symmetry-distinct sites (fractional):
Pr: 0.000 0.000 0.000 (multiplicity 4)
Ho: 0.000 0.000 0.500 (multiplicity 4)
Zn: 0.250 0.250 0.250 (multiplicity 4)
Ga: 0.250 0.250 0.750 (multiplicity 4)

Raw total energy (eV/cell): -61.76
Total magnetic moment (μB/atom): 0.000
Energy relative to the elements (meV/atom): -445



13.
The following is a PBE calculation of a relaxed structure of PrHoZn2Ga2, from the Alexandria database.

Cell lengths 4.4551, 4.4551, 7.4246 Å; angles 90.00, 90.00, 120.00 degrees
Space group P-3m1 (No. 164)
Symmetry-distinct sites (fractional):
Pr: 0.0000 0.0000 0.0000 (multiplicity 1)
Ho: 0.0000 0.0000 0.5000 (multiplicity 1)
Zn: 0.3333 0.6667 0.2793 (multiplicity 2)
Ga: 0.3333 0.6667 0.7303 (multiplicity 2)

Raw total energy (eV/cell): -21.34
Total magnetic moment (μB/atom): 0.000
Energy relative to the elements (meV/atom): -563



14.
The following is a PBE calculation of a relaxed structure of HoGa2Pt9, from the Alexandria database.

Cell lengths 4.020, 4.020, 11.904 Å; angles 90.00, 90.00, 90.00 degrees
Space group P4/mmm (No. 123)
Symmetry-distinct sites (fractional):
Ho: 0.000 0.000 0.000 (multiplicity 1)
Ga: 0.000 0.000 0.339 (multiplicity 2)
Pt: 0.000 0.500 0.178 (multiplicity 4)
Pt: 0.000 0.500 0.500 (multiplicity 2)
Pt: 0.500 0.500 0.000 (multiplicity 1)
Pt: 0.500 0.500 0.339 (multiplicity 2)

Raw total energy (eV/cell): -72.69
Total magnetic moment (μB/atom): 0.000
Energy relative to the elements (meV/atom): -641



15.
The following is a PBE calculation of a relaxed structure of Ho4Ga3Pt, from the Alexandria database.

Cell lengths 3.870, 4.328, 11.029 Å; angles 90.00, 90.00, 90.00 degrees
Space group Pmm2 (No. 25)
Symmetry-distinct sites (fractional):
Ho: 0.000 0.000 0.000 (multiplicity 1)
Ho: 0.000 0.500 0.272 (multiplicity 1)
Ho: 0.500 0.000 0.477 (multiplicity 1)
Ho: 0.500 0.500 0.780 (multiplicity 1)
Ga: 0.000 0.000 0.706 (multiplicity 1)
Ga: 0.000 0.500 0.557 (multiplicity 1)
Ga: 0.500 0.500 0.051 (multiplicity 1)
Pt: 0.500 0.000 0.211 (multiplicity 1)

Raw total energy (eV/cell): -39.67
Total magnetic moment (μB/atom): 0.000
Energy relative to the elements (meV/atom): -780



16.
The following is a PBE calculation of a relaxed structure of Ho3GaPt, from the Alexandria database.

Cell lengths 4.514, 6.804, 8.409 Å; angles 90.00, 90.00, 90.00 degrees
Space group Pmmn (No. 59, origin choice 2)
Symmetry-distinct sites (fractional):
Ho: 0.250 0.005 0.172 (multiplicity 4)
Ho: 0.250 0.250 0.556 (multiplicity 2)
Ga: 0.250 0.750 0.662 (multiplicity 2)
Pt: 0.250 0.250 0.898 (multiplicity 2)

Raw total energy (eV/cell): -52.91
Total magnetic moment (μB/atom): 0.000
Energy relative to the elements (meV/atom): -731



17.
The following is a PBE calculation of a relaxed structure of Ho4GaPt, from the Alexandria database.

Cell lengths 5.226, 20.344, 6.304 Å; angles 90.00, 90.00, 90.00 degrees
Space group Cmc2_1 (No. 36)
Symmetry-distinct sites (fractional):
Ho: 0.000 0.054 0.000 (multiplicity 4)
Ho: 0.000 0.195 0.739 (multiplicity 4)
Ho: 0.000 0.204 0.227 (multiplicity 4)
Ho: 0.000 0.388 0.970 (multiplicity 4)
Ga: 0.000 0.339 0.484 (multiplicity 4)
Pt: 0.000 0.080 0.495 (multiplicity 4)

Raw total energy (eV/cell): -121.17
Total magnetic moment (μB/atom): 0.000
Energy relative to the elements (meV/atom): -486



18.
The following is a PBE calculation of a relaxed structure of Ho4GaPt3, from the Alexandria database.

Cell lengths 3.757, 4.437, 10.708 Å; angles 90.00, 90.00, 90.00 degrees
Space group Pmm2 (No. 25)
Symmetry-distinct sites (fractional):
Ho: 0.000 0.000 0.000 (multiplicity 1)
Ho: 0.000 0.500 0.272 (multiplicity 1)
Ho: 0.500 0.000 0.486 (multiplicity 1)
Ho: 0.500 0.500 0.774 (multiplicity 1)
Ga: 0.000 0.000 0.710 (multiplicity 1)
Pt: 0.000 0.500 0.554 (multiplicity 1)
Pt: 0.500 0.000 0.221 (multiplicity 1)
Pt: 0.500 0.500 0.044 (multiplicity 1)

Raw total energy (eV/cell): -48.51
Total magnetic moment (μB/atom): 0.000
Energy relative to the elements (meV/atom): -1132



19.
The following is a PBE calculation of a relaxed structure of HoGa4Pt4, from the Alexandria database.

Cell lengths 5.944, 5.944, 8.883 Å; angles 90.00, 90.00, 90.00 degrees
Space group P4_2/nmc (No. 137, origin choice 2)
Symmetry-distinct sites (fractional):
Ho: 0.250 0.750 0.250 (multiplicity 2)
Ga: 0.032 0.250 0.166 (multiplicity 8)
Pt: 0.013 0.250 0.458 (multiplicity 8)

Raw total energy (eV/cell): -94.09
Total magnetic moment (μB/atom): 0.000
Energy relative to the elements (meV/atom): -688



20.
The following is a PBE calculation of a relaxed structure of Ho3Ga4Pt4, from the Alexandria database.

Cell lengths 3.676, 4.415, 26.167 Å; angles 90.00, 90.00, 90.00 degrees
Space group Immm (No. 71)
Symmetry-distinct sites (fractional):
Ho: 0.000 0.000 0.000 (multiplicity 2)
Ho: 0.000 0.500 0.143 (multiplicity 4)
Ga: 0.000 0.000 0.452 (multiplicity 4)
Ga: 0.000 0.500 0.309 (multiplicity 4)
Pt: 0.000 0.000 0.258 (multiplicity 4)
Pt: 0.000 0.500 0.405 (multiplicity 4)

Raw total energy (eV/cell): -121.39
Total magnetic moment (μB/atom): 0.000
Polymorph energy (0 for the lowest one) (meV/atom): 75
Energy relative to the elements (meV/atom): -972